1.
A relaxed structure of Ru2Rh3. Source: Alexandria via LeMat-Bulk, functional PBE.

Cell lengths 4.2093, 4.2093, 5.2059 Å; angles 90.00, 90.00, 120.00 degrees
Space group P-3m1 (No. 164)
Symmetry-distinct sites (fractional):
Ru  0.3333  0.6667  0.3680 x2
Rh  0.0000  0.0000  0.5000 x1
Rh  0.3333  0.6667  0.8730 x2

Calculated values
* energy above the lowest structure with this stoichiometry: 533 meV/atom
* formation energy: 0.567 eV per atom
* calculated density: 10.6 Mg/m³
* DFT total energy: -7.554 eV/atom

---

2.
A relaxed structure of Ru5Rh3. Source: Alexandria via LeMat-Bulk, functional PBE.

Cell lengths 4.908, 13.622, 7.371 Å; angles 90.00, 109.01, 90.00 degrees
Space group C2/m (No. 12)
Symmetry-distinct sites (fractional):
Ru  0.082  0.173  0.184 x8
Ru  0.216  0.000  0.948 x4
Ru  0.244  0.095  0.646 x8
Rh  0.000  0.269  0.500 x4
Rh  0.000  0.337  0.000 x4
Rh  0.225  0.500  0.660 x4

Calculated values
* energy above the lowest structure with this stoichiometry: 268 meV/atom
* formation energy: 0.273 eV per atom
* calculated density: 11.6 Mg/m³
* DFT total energy: -8.281 eV/atom

---

3.
A relaxed structure of RuRh2. Source: Alexandria via LeMat-Bulk, functional PBE.

Cell lengths 2.679, 3.887, 17.845 Å; angles 90.00, 90.00, 90.00 degrees
Space group Imma (No. 74)
Symmetry-distinct sites (fractional):
Ru  0.000  0.250  0.113 x4
Rh  0.000  0.250  0.546 x4
Rh  0.000  0.250  0.689 x4

Calculated values
* energy above the lowest structure with this stoichiometry: 346 meV/atom
* formation energy: 0.358 eV per atom
* calculated density: 11.0 Mg/m³
* DFT total energy: -7.635 eV/atom

---

4.
A relaxed structure of Ru2Rh. Source: Alexandria via LeMat-Bulk, functional PBE.

Cell lengths 5.976, 5.976, 5.057 Å; angles 90.00, 90.00, 90.00 degrees
Space group I4/mcm (No. 140)
Symmetry-distinct sites (fractional):
Ru  0.136  0.364  0.000 x8
Rh  0.000  0.000  0.250 x4

Calculated values
* energy above the lowest structure with this stoichiometry: 465 meV/atom
* formation energy: 0.459 eV per atom
* calculated density: 11.2 Mg/m³
* DFT total energy: -8.175 eV/atom

---

5.
A relaxed structure of Ru5Rh3. Source: Alexandria via LeMat-Bulk, functional PBE.

Cell lengths 2.736, 4.313, 9.489 Å; angles 90.00, 90.00, 90.00 degrees
Space group Pmm2 (No. 25)
Symmetry-distinct sites (fractional):
Ru  0.000  0.000  0.000 x1
Ru  0.000  0.000  0.494 x1
Ru  0.000  0.500  0.328 x1
Ru  0.500  0.000  0.246 x1
Ru  0.500  0.500  0.083 x1
Rh  0.000  0.500  0.833 x1
Rh  0.500  0.000  0.746 x1
Rh  0.500  0.500  0.578 x1

Calculated values
* energy above the lowest structure with this stoichiometry: 0 meV/atom
* formation energy: 0.006 eV per atom
* calculated density: 12.1 Mg/m³
* DFT total energy: -8.548 eV/atom

---

6.
A relaxed structure of RuRh2. Source: Alexandria via LeMat-Bulk, functional PBE.

Cell lengths 3.5689, 3.5689, 4.4731 Å; angles 90.00, 90.00, 120.00 degrees
Space group P-3m1 (No. 164)
Symmetry-distinct sites (fractional):
Ru  0.0000  0.0000  0.0000 x1
Rh  0.3333  0.6667  0.3076 x2

Calculated values
* energy above the lowest structure with this stoichiometry: 845 meV/atom
* formation energy: 0.856 eV per atom
* calculated density: 10.3 Mg/m³
* DFT total energy: -7.137 eV/atom

---

What is the formation energy in the third record?
0.358 eV per atom